# 1
The following is a PBE calculation of a geometry-optimized Th2Ag2Au structure, from the Alexandria database.

a b c (Å): 4.6881 6.0706 9.9053
angles (deg): 71.43 76.31 67.29
Fractional coordinates of all 10 atoms:
Ag 0.4844 0.1701 0.8610
Au 0.7514 0.7847 0.7125
Ag 0.5156 0.8299 0.1390
Ag 0.6100 0.3985 0.3814
Ag 0.3900 0.6015 0.6186
Au 0.2486 0.2153 0.2875
Th 0.9124 0.7935 0.3816
Th 0.8261 0.2814 0.0665
Th 0.0876 0.2065 0.6184
Th 0.1739 0.7186 0.9335

For the energy relative to the elements, the calculation gives -22.9 kJ per mole of atoms. As for the density: 11.914 Mg/m³. Its symmetry is No. 12.

# 2
The following is a PBE calculation of a geometry-optimized LiSiSe3 structure, from the Alexandria database.

a b c (Å): 6.1858 6.3650 6.3650
angles (deg): 120.00 90.00 90.00
Fractional coordinates of all 10 atoms:
Se 0.5000 0.0000 0.6992
Se 0.5000 0.6992 0.0000
Se 0.0000 0.0000 0.3008
Si 0.7500 0.0000 0.0000
Li 0.7500 0.3333 0.6667
Se 0.0000 0.6992 0.6992
Si 0.2500 0.0000 0.0000
Se 0.0000 0.3008 0.0000
Se 0.5000 0.3008 0.3008
Li 0.2500 0.6667 0.3333

As for the density: 4.161 Mg/m³. Its symmetry is No. 182. The value obtained for the raw formation energy is -0.390 eV/atom.

# 3
The following is a PBE calculation of a geometry-optimized KCrRh3 structure, from the Alexandria database.

a b c (Å): 4.5887 4.5887 4.5887
angles (deg): 90.00 90.00 90.00
Fractional coordinates of all 5 atoms:
Rh 0.5000 0.0000 0.0000
Rh 0.0000 0.5000 0.0000
Rh 0.0000 0.0000 0.5000
Cr 0.0000 0.0000 0.0000
K 0.5000 0.5000 0.5000

For the energy relative to the elements, the calculation gives 69.4 kJ per mole of atoms. As for the density: 6.871 Mg/m³. Its symmetry is No. 221.

# 4
The following is a PBE calculation of a geometry-optimized Li2Co2Ag structure, from the Alexandria database.

a b c (Å): 4.8698 4.8698 4.8698
angles (deg): 125.26 125.26 81.11
Each line ends with the local moment (μB).
Fractional coordinates of all 5 atoms:
Li 0.7500 0.2500 0.5000  -0.04
Li 0.2500 0.7500 0.5000  -0.04
Co 0.3592 0.3592 0.0000  1.72
Co 0.6408 0.6408 0.0000  1.72
Ag 0.0000 0.0000 0.0000  0.02

For the energy relative to the elements, the calculation gives 58.1 kJ per mole of atoms. As for the density: 5.364 Mg/m³. Its symmetry is No. 139.

# 5
The following is a PBE calculation of a geometry-optimized MgBiRu3 structure, from the Alexandria database.

a b c (Å): 4.5507 4.5507 4.5507
angles (deg): 90.00 90.00 90.00
Each line ends with the local moment (μB).
Fractional coordinates of all 5 atoms:
Ru 0.5000 0.0000 0.0000  0.18
Ru 0.0000 0.0000 0.5000  0.14
Mg 0.0000 0.0000 0.0000  0.00
Bi 0.5000 0.5000 0.5000  -0.03
Ru 0.0000 0.5000 0.0000  0.24

For the energy relative to the elements, the calculation gives 136.0 kJ per mole of atoms. As for the density: 9.453 Mg/m³. Its symmetry is No. 221.

# 6
The following is a PBE calculation of a geometry-optimized KTe2Cl structure, from the Alexandria database.

a b c (Å): 3.1803 3.1803 12.0867
angles (deg): 90.00 90.00 89.90
Each line ends with the local moment (μB).
Fractional coordinates of all 4 atoms:
Te 0.0000 0.0000 0.5189  0.00
Te 0.0000 0.0000 0.9811  0.00
K 0.5000 0.5000 0.7500  0.00
Cl 0.5000 0.5000 0.2500  0.41

As for the density: 4.479 Mg/m³. Its symmetry is No. 65. The value obtained for the raw formation energy is -0.119 eV/atom.

# 7
The following is a PBE calculation of a geometry-optimized AlBSe2N structure, from the Alexandria database.

a b c (Å): 6.1405 6.1405 2.5997
angles (deg): 90.00 90.00 90.00
Fractional coordinates of all 5 atoms:
N 0.0000 0.0000 0.5000
B 0.0000 0.0000 0.0000
Al 0.5000 0.5000 0.5000
Se 0.5000 0.0000 0.0000
Se 0.0000 0.5000 0.0000

As for the density: 3.553 Mg/m³. Its symmetry is No. 123. The value obtained for the raw formation energy is 0.121 eV/atom.

# 8
The following is a PBE calculation of a geometry-optimized Er7Tl2In2 structure, from the Alexandria database.

a b c (Å): 6.8371 7.6770 6.8371
angles (deg): 90.00 108.81 90.00
Fractional coordinates of all 11 atoms:
In 0.1775 0.5000 0.1775
Er 0.4997 0.2870 0.0002
Er 0.0000 0.0000 0.0000
Er 0.5003 0.7130 0.9998
Tl 0.2931 0.0000 0.7069
Er 0.9998 0.2870 0.5003
Er 0.5002 0.7324 0.4998
In 0.8225 0.5000 0.8225
Er 0.4998 0.2676 0.5002
Er 0.0002 0.7130 0.4997
Tl 0.7069 0.0000 0.2931

For the energy relative to the elements, the calculation gives -2.3 kJ per mole of atoms. As for the density: 8.844 Mg/m³. Its symmetry is No. 65.

# 9
The following is a PBE calculation of a geometry-optimized Pu4SnSb structure, from the Alexandria database.

a b c (Å): 5.1341 6.1361 6.1361
angles (deg): 92.86 65.27 65.27
Each line ends with the local moment (μB).
Fractional coordinates of all 6 atoms:
Pu 0.2495 0.4171 0.0838  5.83
Pu 0.7504 0.9162 0.5829  5.83
Pu 0.7504 0.5829 0.9162  5.83
Sb 0.5000 0.5000 0.5000  -0.10
Pu 0.2495 0.0838 0.4171  5.83
Sn 0.0000 0.0000 0.0000  -0.11

As for the density: 13.165 Mg/m³. Its symmetry is No. 71. The value obtained for the raw formation energy is -0.195 eV/atom.

# 10
The following is a PBE calculation of a geometry-optimized TeRuCl structure, from the Alexandria database.

a b c (Å): 4.6449 4.6449 4.6449
angles (deg): 60.00 60.00 60.00
Each line ends with the local moment (μB).
Fractional coordinates of all 3 atoms:
Ru 0.5000 0.5000 0.5000  0.56
Cl 0.0000 0.0000 0.0000  0.03
Te 0.7500 0.7500 0.7500  -0.04

As for the density: 6.189 Mg/m³. Its symmetry is No. 216. The value obtained for the raw formation energy is 0.877 eV/atom.

# 11
The following is a PBE calculation of a geometry-optimized AcInCuPt structure, from the Alexandria database.

a b c (Å): 5.0610 5.0610 5.0610
angles (deg): 60.00 60.00 60.00
Fractional coordinates of all 4 atoms:
In 0.0000 0.0000 0.0000
Ac 0.5000 0.5000 0.5000
Pt 0.7500 0.7500 0.7500
Cu 0.2500 0.2500 0.2500

For the energy relative to the elements, the calculation gives -42.7 kJ per mole of atoms. As for the density: 10.877 Mg/m³. Its symmetry is No. 216.

# 12
The following is a PBE calculation of a geometry-optimized HfV5 structure, from the Alexandria database.

a b c (Å): 3.1079 4.4689 6.8363
angles (deg): 109.08 90.00 90.00
Each line ends with the local moment (μB).
Fractional coordinates of all 6 atoms:
V 0.0000 0.6676 0.3353  0.00
V 0.5000 0.5000 0.0000  0.39
Hf 0.0000 0.0000 0.0000  0.07
V 0.5000 0.1832 0.3665  -0.01
V 0.0000 0.3324 0.6647  0.00
V 0.5000 0.8168 0.6335  -0.01

For the energy relative to the elements, the calculation gives 11.2 kJ per mole of atoms. As for the density: 8.016 Mg/m³. Its symmetry is No. 65.

# 13
The following is a PBE calculation of a geometry-optimized Li4MgCd structure, from the Alexandria database.

a b c (Å): 4.8528 7.3247 7.5066
angles (deg): 90.00 108.86 90.00
Fractional coordinates of all 12 atoms:
Li 0.0000 0.0000 0.0000
Li 0.4242 0.2500 0.8483
Li 0.2390 0.0802 0.4780
Cd 0.8368 0.2500 0.6737
Mg 0.6262 0.2500 0.2523
Cd 0.1632 0.7500 0.3263
Li 0.5758 0.7500 0.1517
Li 0.7610 0.5802 0.5220
Mg 0.3738 0.7500 0.7477
Li 0.7610 0.9198 0.5220
Li 0.2390 0.4198 0.4780
Li 0.0000 0.5000 0.0000

For the energy relative to the elements, the calculation gives -1.8 kJ per mole of atoms. As for the density: 2.163 Mg/m³. Its symmetry is No. 63.